{
  "formula": "Mn3H2O6",
  "functional": "SCAN",
  "state": "single point on PBEsol structure",
  "n_ef_per_ev_fu": 2.572,
  "final_energy_ev_per_cell": -119.196,
  "volume_a3_per_atom": 8.59,
  "magnetic_moment_mub_per_cell": 11.00,
  "spacegroup": "No. 12",
  "lattice_angstrom": [[2.9334, 0.0000, 0.0000], [0.0000, 4.4571, 0.1513], [-1.4667, 0.1939, 7.2358]],
  "species": ["Mn", "Mn", "Mn", "H", "H", "O", "O", "O", "O", "O", "O"],
  "fractional_positions": [[0.0000, 0.5000, 0.0000], [0.3491, 0.0298, 0.6983], [0.6509, 0.9702, 0.3017], [0.1826, 0.4242, 0.3651], [0.8174, 0.5758, 0.6349], [0.5504, 0.2661, 0.1007], [0.4496, 0.7339, 0.8993], [0.1153, 0.7261, 0.2306], [0.8847, 0.2739, 0.7694], [0.2106, 0.2068, 0.4211], [0.7894, 0.7932, 0.5789]]
}

=====

{
  "formula": "BeSiC2",
  "functional": "SCAN",
  "state": "single point on PBEsol structure",
  "n_ef_per_ev_fu": 1.307,
  "e_form_raw_mev_per_atom": 594,
  "volume_a3_per_atom": 9.21,
  "magnetic_moment_mub_per_cell": 0.00,
  "spacegroup": "No. 122",
  "lattice_angstrom": [[-0.7181, -3.7789, -0.2639], [1.4080, -0.0169, -3.5893], [4.1744, 0.9149, 3.7040]],
  "species": ["Be", "Be", "Si", "Si", "C", "C", "C", "C"],
  "fractional_positions": [[0.7500, 0.2500, 0.5000], [0.5000, 0.5000, 0.0000], [0.2500, 0.7500, 0.5000], [0.0000, 0.0000, 0.0000], [0.3895, 0.8750, 0.2500], [0.8605, 0.3750, 0.2500], [0.1250, 0.1395, 0.7500], [0.6250, 0.6105, 0.7500]]
}

=====

{
  "formula": "LiP2PdS",
  "functional": "SCAN",
  "state": "single point on PBEsol structure",
  "n_ef_per_ev_fu": 2.620,
  "e_form_raw_mev_per_atom": 788,
  "volume_a3_per_atom": 15.18,
  "magnetic_moment_mub_per_cell": 0.00,
  "spacegroup": "No. 123",
  "lattice_angstrom": [[4.1945, 0.0000, 0.0000], [0.0000, 4.1945, 0.0000], [0.0000, 0.0000, 4.3126]],
  "species": ["P", "P", "S", "Pd", "Li"],
  "fractional_positions": [[0.0000, 0.5000, 0.0000], [0.5000, 0.0000, 0.0000], [0.0000, 0.0000, 0.5000], [0.5000, 0.5000, 0.5000], [0.0000, 0.0000, 0.0000]]
}

=====

{
  "formula": "GaPtI2O",
  "functional": "SCAN",
  "state": "single point on PBEsol structure",
  "n_ef_per_ev_fu": 3.505,
  "e_form_raw_mev_per_atom": 142,
  "volume_a3_per_atom": 21.17,
  "magnetic_moment_mub_per_cell": 0.00,
  "spacegroup": "No. 123",
  "lattice_angstrom": [[-3.0511, 1.6713, -0.1348], [-2.5483, -4.7468, -1.1741], [-0.7474, -0.9303, 5.3833]],
  "species": ["I", "I", "O", "Ga", "Pt"],
  "fractional_positions": [[0.0000, 0.0000, 0.5000], [0.0000, 0.5000, 0.0000], [0.5000, 0.0000, 0.0000], [0.0000, 0.0000, 0.0000], [0.5000, 0.5000, 0.5000]]
}